No. 1
{
  "formula": "Nd2Dy8Ho3",
  "functional": "GGA-PBE",
  "state": "relaxed",
  "lattice_angstrom": [[-2.141, 5.106, -0.181], [-0.209, -0.357, -7.601], [-9.438, -3.808, 4.254]],
  "species": ["Nd", "Nd", "Dy", "Dy", "Dy", "Dy", "Dy", "Dy", "Dy", "Dy", "Ho", "Ho", "Ho"],
  "frac_coords": [[0.500, 0.241, 0.481], [0.500, 0.759, 0.519], [0.000, 0.662, 0.323], [0.000, 0.338, 0.677], [0.000, 0.128, 0.257], [0.000, 0.872, 0.743], [0.500, 0.606, 0.788], [0.500, 0.182, 0.788], [0.500, 0.818, 0.212], [0.500, 0.394, 0.212], [0.500, 0.000, 0.000], [0.000, 0.286, 0.000], [0.000, 0.714, 0.000]],
  "rho_g_cm3": 7.9,
  "ef_ev_per_atom": 0.2367,
  "spacegroup": "Cmmm, No. 65"
}

No. 2
{
  "formula": "Zr2BePBr",
  "functional": "GGA-PBE",
  "state": "relaxed",
  "lattice_angstrom": [[5.080, 0.000, 0.000], [0.000, 3.805, 0.000], [0.000, 0.000, 5.080]],
  "species": ["P", "Br", "Zr", "Zr", "Be"],
  "frac_coords": [[0.000, 0.000, 0.000], [0.500, 0.500, 0.500], [0.000, 0.000, 0.500], [0.500, 0.000, 0.000], [0.000, 0.500, 0.000]],
  "rho_g_cm3": 5.1,
  "formation_energy_uncorrected_ev_per_atom": -0.14,
  "spacegroup": "P4/mmm, No. 123"
}